Entry 1:
# KZnAu | Alexandria via LeMat-Bulk | PBE | relaxed
# Calculated formation energy (eV per atom): -0.240
# DOS at the Fermi energy (states/eV per cell): 3.55
# Energy above the lowest structure with this stoichiometry (eV per formula unit): 0.00
data_KZnAu
_symmetry_space_group_name_H-M 'C m c m'
_symmetry_Int_Tables_number 63
_symmetry_space_group_name_Hall '-C 2c 2'
_cell_length_a 4.4689
_cell_length_b 12.1219
_cell_length_c 5.6314
_cell_angle_alpha 90.00
_cell_angle_beta 90.00
_cell_angle_gamma 90.00
loop_
_atom_site_label
_atom_site_type_symbol
_atom_site_fract_x
_atom_site_fract_y
_atom_site_fract_z
_atom_site_occupancy
K1 K 0.0000 0.2217 0.2500 1
Zn1 Zn 0.0000 0.5000 0.0000 1
Au1 Au 0.0000 0.0476 0.7500 1

Entry 2:
# NaThBiN | Alexandria via LeMat-Bulk | PBE | relaxed
# Uncorrected formation energy (eV/f.u.): -2.8
# DOS at the Fermi energy (states/eV per cell): 2.31
data_NaThBiN
_symmetry_space_group_name_H-M 'I 4 m m'
_symmetry_Int_Tables_number 107
_symmetry_space_group_name_Hall 'I 4 -2'
_cell_length_a 3.4043
_cell_length_b 3.4043
_cell_length_c 16.3741
_cell_angle_alpha 90.00
_cell_angle_beta 90.00
_cell_angle_gamma 90.00
loop_
_atom_site_label
_atom_site_type_symbol
_atom_site_fract_x
_atom_site_fract_y
_atom_site_fract_z
_atom_site_occupancy
Na1 Na 0.0000 0.0000 0.0000 1
Th1 Th 0.0000 0.0000 0.3122 1
Bi1 Bi 0.0000 0.0000 0.6404 1
N1 N 0.0000 0.0000 0.8516 1

Entry 3:
# InMoSe2N | Alexandria via LeMat-Bulk | PBE | relaxed
# Uncorrected formation energy (eV/f.u.): 6.4
# DOS at the Fermi energy (states/eV per cell): 2.96
# Energy above the lowest structure with this stoichiometry (eV per formula unit): 6.45
data_InMoSe2N
_symmetry_space_group_name_H-M 'P 4/m m m'
_symmetry_Int_Tables_number 123
_symmetry_space_group_name_Hall '-P 4 2'
_cell_length_a 5.3671
_cell_length_b 5.3671
_cell_length_c 4.0404
_cell_angle_alpha 90.00
_cell_angle_beta 90.00
_cell_angle_gamma 90.00
loop_
_atom_site_label
_atom_site_type_symbol
_atom_site_fract_x
_atom_site_fract_y
_atom_site_fract_z
_atom_site_occupancy
In1 In 0.0000 0.0000 0.0000 1
Mo1 Mo 0.5000 0.5000 0.5000 1
Se1 Se 0.0000 0.5000 0.0000 1
N1 N 0.0000 0.0000 0.5000 1

Entry 4:
# Gd2MnNi | Alexandria via LeMat-Bulk | PBE | relaxed
# Calculated formation energy (eV per atom): -0.012
# DOS at the Fermi energy (states/eV per cell): 4.92
data_Gd2MnNi
_symmetry_space_group_name_H-M 'P 4/m m m'
_symmetry_Int_Tables_number 123
_symmetry_space_group_name_Hall '-P 4 2'
_cell_length_a 3.4803
_cell_length_b 3.4803
_cell_length_c 7.0460
_cell_angle_alpha 90.00
_cell_angle_beta 90.00
_cell_angle_gamma 90.00
loop_
_atom_site_label
_atom_site_type_symbol
_atom_site_fract_x
_atom_site_fract_y
_atom_site_fract_z
_atom_site_occupancy
Gd1 Gd 0.0000 0.0000 0.2339 1
Mn1 Mn 0.5000 0.5000 0.5000 1
Ni1 Ni 0.5000 0.5000 0.0000 1

Entry 5:
# DyYTe2 | Alexandria via LeMat-Bulk | PBE | relaxed
# Uncorrected formation energy (eV/f.u.): -3.8
# DOS at the Fermi energy (states/eV per cell): 4.10
# Energy above the lowest structure with this stoichiometry (eV per formula unit): 1.51
data_DyYTe2
_symmetry_space_group_name_H-M 'P m n 21'
_symmetry_Int_Tables_number 31
_symmetry_space_group_name_Hall 'P 2ac -2'
_cell_length_a 4.4745
_cell_length_b 9.7450
_cell_length_c 6.8576
_cell_angle_alpha 90.00
_cell_angle_beta 90.00
_cell_angle_gamma 90.00
loop_
_atom_site_label
_atom_site_type_symbol
_atom_site_fract_x
_atom_site_fract_y
_atom_site_fract_z
_atom_site_occupancy
Dy1 Dy 0.0000 0.1762 0.0000 1
Y1 Y 0.0000 0.5848 0.1547 1
Te1 Te 0.0000 0.3244 0.3786 1
Te2 Te 0.0000 0.9093 0.2434 1

Entry 6:
# RbNdHgCl6 | Alexandria via LeMat-Bulk | PBE | relaxed
# Uncorrected formation energy (eV/f.u.): -14.8
# DOS at the Fermi energy (states/eV per cell): 0.00
data_RbNdHgCl6
_symmetry_space_group_name_H-M 'P -3 1 c'
_symmetry_Int_Tables_number 163
_symmetry_space_group_name_Hall '-P 3 2c'
_cell_length_a 7.1512
_cell_length_b 7.1512
_cell_length_c 14.4699
_cell_angle_alpha 90.00
_cell_angle_beta 90.00
_cell_angle_gamma 120.00
loop_
_atom_site_label
_atom_site_type_symbol
_atom_site_fract_x
_atom_site_fract_y
_atom_site_fract_z
_atom_site_occupancy
Rb1 Rb 0.0000 0.0000 0.0000 1
Nd1 Nd 0.3333 0.6667 0.2500 1
Hg1 Hg 0.3333 0.6667 0.7500 1
Cl1 Cl 0.0035 0.3781 0.6409 1

Entry 7:
# Y7Ag3 | Alexandria via LeMat-Bulk | PBE | relaxed
# Calculated formation energy (eV per atom): -0.138
# DOS at the Fermi energy (states/eV per cell): 29.58
data_Y7Ag3
_symmetry_space_group_name_H-M 'P 63 m c'
_symmetry_Int_Tables_number 186
_symmetry_space_group_name_Hall 'P 6c -2c'
_cell_length_a 10.1212
_cell_length_b 10.1212
_cell_length_c 6.4764
_cell_angle_alpha 90.00
_cell_angle_beta 90.00
_cell_angle_gamma 120.00
loop_
_atom_site_label
_atom_site_type_symbol
_atom_site_fract_x
_atom_site_fract_y
_atom_site_fract_z
_atom_site_occupancy
Y1 Y 0.0730 0.5365 0.0000 1
Y2 Y 0.1261 0.2521 0.7159 1
Y3 Y 0.3333 0.6667 0.5517 1
Ag1 Ag 0.1938 0.3876 0.2786 1

Entry 8:
# Mg2BiH2 | Alexandria via LeMat-Bulk | PBE | relaxed
# DOS at the Fermi energy (states/eV per cell): 1.19
# Energy above the lowest structure with this stoichiometry (eV per formula unit): 0.82
data_Mg2BiH2
_symmetry_space_group_name_H-M 'P 4/m m m'
_symmetry_Int_Tables_number 123
_symmetry_space_group_name_Hall '-P 4 2'
_cell_length_a 3.4714
_cell_length_b 3.4714
_cell_length_c 6.8365
_cell_angle_alpha 90.00
_cell_angle_beta 90.00
_cell_angle_gamma 90.00
loop_
_atom_site_label
_atom_site_type_symbol
_atom_site_fract_x
_atom_site_fract_y
_atom_site_fract_z
_atom_site_occupancy
Mg1 Mg 0.0000 0.0000 0.1928 1
Bi1 Bi 0.5000 0.5000 0.5000 1
H1 H 0.0000 0.5000 0.0000 1